Entry 1:
Compound: Mg9TlGa2
Source: Alexandria
Functional: PBE
Structure: optimized geometry

POSCAR file:
```
Mg9TlGa2
1.0
4.411 0.000 0.000
0.000 4.411 0.000
0.000 0.000 13.179
Mg Tl Ga
9 1 2
direct
0.500 0.500 0.000
0.500 0.500 0.338
0.500 0.500 0.662
0.500 0.000 0.178
0.500 0.000 0.500
0.500 0.000 0.822
0.000 0.500 0.178
0.000 0.500 0.500
0.000 0.500 0.822
0.000 0.000 0.000
0.000 0.000 0.338
0.000 0.000 0.662
```

Entry 2:
Compound: Mg2TlGa
Source: Alexandria
Functional: PBE
Structure: optimized geometry

POSCAR file:
```
Mg2TlGa
1.0
4.629 0.000 0.000
2.314 4.009 0.000
2.314 1.336 5.304
Mg Tl Ga
2 1 1
direct
0.057 0.057 0.828
0.275 0.275 0.175
0.491 0.491 0.528
0.677 0.677 0.969
```

## Properties
Energy above the lowest structure with this stoichiometry, meV per atom: 70

Entry 3:
Compound: Mg6TlGa5
Source: Alexandria
Functional: PBE
Structure: optimized geometry

POSCAR file:
```
Mg6TlGa5
1.0
-1.700 -1.157 -4.092
7.279 -0.156 -2.981
-2.223 -5.854 5.264
Mg Tl Ga
6 1 5
direct
0.832 0.569 0.661
0.832 0.092 0.661
0.500 0.730 0.000
0.500 0.270 0.000
0.168 0.908 0.339
0.168 0.431 0.339
0.000 0.000 0.000
0.668 0.167 0.334
0.329 0.326 0.652
0.000 0.500 0.000
0.671 0.674 0.348
0.332 0.833 0.666
```

Entry 4:
Compound: MgTlGa2
Source: Alexandria
Functional: PBE
Structure: optimized geometry

POSCAR file:
```
MgTlGa2
1.0
4.184 0.000 0.000
0.000 4.184 0.000
2.092 2.092 10.571
Tl Mg Ga
2 2 4
direct
0.000 0.000 0.000
0.750 0.250 0.500
0.500 0.500 0.000
0.250 0.750 0.500
0.608 0.125 0.250
0.142 0.625 0.250
0.375 0.392 0.750
0.875 0.858 0.750
```

## Properties
Energy above the lowest structure with this stoichiometry, meV per atom: 84

Entry 5:
Compound: Mg12Tl5Ga2
Source: Alexandria
Functional: PBE
Structure: optimized geometry

POSCAR file:
```
Mg12Tl5Ga2
1.0
-4.022 -4.860 3.356
-0.001 -0.677 -8.587
5.914 -5.783 -1.286
Mg Tl Ga
12 5 2
direct
0.954 0.908 0.183
0.065 0.699 0.900
0.633 0.699 0.900
0.104 0.702 0.500
0.598 0.702 0.500
0.485 0.969 0.688
0.515 0.031 0.312
0.896 0.298 0.500
0.402 0.298 0.500
0.935 0.301 0.100
0.367 0.301 0.100
0.046 0.092 0.817
0.238 0.477 0.761
0.308 0.617 0.219
0.000 0.000 0.500
0.692 0.383 0.781
0.762 0.523 0.239
0.676 0.000 0.000
0.324 0.000 0.000
```

Entry 6:
Compound: Mg3TlGa2
Source: Alexandria
Functional: PBE
Structure: optimized geometry

POSCAR file:
```
Mg3TlGa2
1.0
-3.180 0.335 -0.994
0.937 -0.522 -3.172
-1.611 -11.220 1.371
Mg Tl Ga
3 1 2
direct
0.000 0.000 0.000
0.000 0.000 0.696
0.000 0.000 0.304
0.500 0.500 0.500
0.500 0.500 0.844
0.500 0.500 0.156
```

Taking the records one at a time from the top gives energy relative to the elements values of -0.9; 0.0; -1.2; 0.4; -0.1; -0.6 eV/f.u..